Here is an optimized crystal structure of Cs2AlFeO4 from Alexandria via LeMat-Bulk. Energies are from PBE with a Hubbard U.

Output
Total DFT energy (no corrections): -5.785 eV/atom

```
data_Cs2AlFeO4
_cell_length_a 5.127
_cell_length_b 12.679
_cell_length_c 21.876
_cell_angle_alpha 90.00
_cell_angle_beta 90.00
_cell_angle_gamma 90.00
_symmetry_space_group_name_H-M 'F d d d'
_symmetry_Int_Tables_number 70
loop_
_symmetry_equiv_pos_as_xyz
'x,y,z'
'-x,-y,-z'
'-x+1/4,-y+1/4,z'
'x+1/4,y+1/4,-z'
'x,-y+1/4,-z+1/4'
'-x,y+1/4,z+1/4'
'-x+1/4,y,-z+1/4'
'x+1/4,-y,z+1/4'
'x,y+1/2,z+1/2'
'-x,-y+1/2,-z+1/2'
'-x+1/4,-y+3/4,z+1/2'
'x+1/4,y+3/4,-z+1/2'
'x,-y+3/4,-z+3/4'
'-x,y+3/4,z+3/4'
'-x+1/4,y+1/2,-z+3/4'
'x+1/4,-y+1/2,z+3/4'
'x+1/2,y,z+1/2'
'-x+1/2,-y,-z+1/2'
'-x+3/4,-y+1/4,z+1/2'
'x+3/4,y+1/4,-z+1/2'
'x+1/2,-y+1/4,-z+3/4'
'-x+1/2,y+1/4,z+3/4'
'-x+3/4,y,-z+3/4'
'x+3/4,-y,z+3/4'
'x+1/2,y+1/2,z'
'-x+1/2,-y+1/2,-z'
'-x+3/4,-y+3/4,z'
'x+3/4,y+3/4,-z'
'x+1/2,-y+3/4,-z+1/4'
'-x+1/2,y+3/4,z+1/4'
'-x+3/4,y+1/2,-z+1/4'
'x+3/4,-y+1/2,z+1/4'
loop_
_atom_site_label
_atom_site_fract_x
_atom_site_fract_y
_atom_site_fract_z
Cs1 0.125 0.125 0.298
Al1 0.125 0.125 0.125
Fe1 0.125 0.125 0.625
O1 0.106 0.298 0.417
```